# Tb3NdDy4 (PBE, relaxed)
data_Tb3NdDy4
_cell_length_a 6.2963
_cell_length_b 7.2881
_cell_length_c 11.3483
_cell_angle_alpha 90.00
_cell_angle_beta 90.00
_cell_angle_gamma 90.00
_symmetry_space_group_name_H-M 'P 1'
_symmetry_Int_Tables_number 1
_symmetry_space_group_name_Hall 'P 1'
loop_
_atom_site_label
_atom_site_type_symbol
_atom_site_fract_x
_atom_site_fract_y
_atom_site_fract_z
Tb1 Tb 0.6473 0.6261 0.0000
Dy1 Dy 0.6476 0.1237 0.5000
Tb2 Tb 0.1473 0.3739 0.5000
Dy2 Dy 0.6485 0.1236 0.0000
Nd1 Nd 0.1476 0.3742 0.0000
Dy3 Dy 0.1485 0.8764 0.5000
Tb3 Tb 0.9811 0.6265 0.2499
Dy4 Dy 0.9811 0.1238 0.7486
Dy5 Dy 0.9811 0.1238 0.2514
Tb4 Tb 0.9811 0.6265 0.7501
Tb5 Tb 0.4811 0.3735 0.2501
Dy6 Dy 0.1476 0.8763 0.0000
Nd2 Nd 0.6476 0.6258 0.5000
Dy7 Dy 0.4811 0.8762 0.2486
Tb6 Tb 0.4811 0.3735 0.7499
Dy8 Dy 0.4811 0.8762 0.7514
# E_tot	-73.897	eV/cell
# density of states at the Fermi level	26.76	states/eV/cell
# crystal system	orthorhombic
# formation enthalpy at 0 K	0.0148	eV/atom

# Tb2NdDy (PBE, relaxed)
data_Tb2NdDy
_cell_length_a 5.7271
_cell_length_b 7.3090
_cell_length_c 6.3189
_cell_angle_alpha 90.00
_cell_angle_beta 90.00
_cell_angle_gamma 90.00
_symmetry_space_group_name_H-M 'P 1'
_symmetry_Int_Tables_number 1
_symmetry_space_group_name_Hall 'P 1'
loop_
_atom_site_label
_atom_site_type_symbol
_atom_site_fract_x
_atom_site_fract_y
_atom_site_fract_z
Tb1 Tb 0.2500 0.0011 0.1654
Tb2 Tb 0.7500 0.9989 0.8346
Dy1 Dy 0.7500 0.2500 0.3324
Tb3 Tb 0.2500 0.4989 0.1654
Nd1 Nd 0.2500 0.2500 0.6664
Nd2 Nd 0.7500 0.7500 0.3336
Dy2 Dy 0.2500 0.7500 0.6676
Tb4 Tb 0.7500 0.5011 0.8346
# E_tot	-37.110	eV/cell
# density of states at the Fermi level	13.12	states/eV/cell
# crystal system	orthorhombic
# formation enthalpy at 0 K	0.0189	eV/atom

# Tb9Nd2Dy3 (PBE, relaxed)
data_Tb9Nd2Dy3
_cell_length_a 5.4026
_cell_length_b 12.8306
_cell_length_c 12.8306
_cell_angle_alpha 47.04
_cell_angle_beta 50.78
_cell_angle_gamma 50.78
_symmetry_space_group_name_H-M 'P 1'
_symmetry_Int_Tables_number 1
_symmetry_space_group_name_Hall 'P 1'
loop_
_atom_site_label
_atom_site_type_symbol
_atom_site_fract_x
_atom_site_fract_y
_atom_site_fract_z
Tb1 Tb 0.0836 0.4574 0.1542
Nd1 Nd 0.5000 0.7612 0.2388
Tb2 Tb 0.9164 0.5426 0.8458
Nd2 Nd 0.5000 0.2388 0.7612
Tb3 Tb 0.9164 0.8458 0.5426
Tb4 Tb 0.3771 0.6486 0.1005
Tb5 Tb 0.6229 0.3514 0.8995
Dy1 Dy 0.0278 0.8241 0.8241
Tb6 Tb 0.3771 0.1005 0.6486
Tb7 Tb 0.6229 0.8995 0.3514
Tb8 Tb 0.0836 0.1542 0.4574
Tb9 Tb 0.0000 0.5000 0.5000
Dy2 Dy 0.0000 0.0000 0.0000
Dy3 Dy 0.9722 0.1759 0.1759
# E_tot	-60.685	eV/cell
# density of states at the Fermi level	19.38	states/eV/cell
# crystal system	monoclinic
# formation enthalpy at 0 K	0.3093	eV/atom

Copy entry 2 word for word.
# Tb2NdDy (PBE, relaxed)
data_Tb2NdDy
_cell_length_a 5.7271
_cell_length_b 7.3090
_cell_length_c 6.3189
_cell_angle_alpha 90.00
_cell_angle_beta 90.00
_cell_angle_gamma 90.00
_symmetry_space_group_name_H-M 'P 1'
_symmetry_Int_Tables_number 1
_symmetry_space_group_name_Hall 'P 1'
loop_
_atom_site_label
_atom_site_type_symbol
_atom_site_fract_x
_atom_site_fract_y
_atom_site_fract_z
Tb1 Tb 0.2500 0.0011 0.1654
Tb2 Tb 0.7500 0.9989 0.8346
Dy1 Dy 0.7500 0.2500 0.3324
Tb3 Tb 0.2500 0.4989 0.1654
Nd1 Nd 0.2500 0.2500 0.6664
Nd2 Nd 0.7500 0.7500 0.3336
Dy2 Dy 0.2500 0.7500 0.6676
Tb4 Tb 0.7500 0.5011 0.8346
# E_tot	-37.110	eV/cell
# density of states at the Fermi level	13.12	states/eV/cell
# crystal system	orthorhombic
# formation enthalpy at 0 K	0.0189	eV/atom

- Look up the E_tot of the second one.
  -37.110 eV/cell

What did the third record say?
# Tb9Nd2Dy3 (PBE, relaxed)
data_Tb9Nd2Dy3
_cell_length_a 5.4026
_cell_length_b 12.8306
_cell_length_c 12.8306
_cell_angle_alpha 47.04
_cell_angle_beta 50.78
_cell_angle_gamma 50.78
_symmetry_space_group_name_H-M 'P 1'
_symmetry_Int_Tables_number 1
_symmetry_space_group_name_Hall 'P 1'
loop_
_atom_site_label
_atom_site_type_symbol
_atom_site_fract_x
_atom_site_fract_y
_atom_site_fract_z
Tb1 Tb 0.0836 0.4574 0.1542
Nd1 Nd 0.5000 0.7612 0.2388
Tb2 Tb 0.9164 0.5426 0.8458
Nd2 Nd 0.5000 0.2388 0.7612
Tb3 Tb 0.9164 0.8458 0.5426
Tb4 Tb 0.3771 0.6486 0.1005
Tb5 Tb 0.6229 0.3514 0.8995
Dy1 Dy 0.0278 0.8241 0.8241
Tb6 Tb 0.3771 0.1005 0.6486
Tb7 Tb 0.6229 0.8995 0.3514
Tb8 Tb 0.0836 0.1542 0.4574
Tb9 Tb 0.0000 0.5000 0.5000
Dy2 Dy 0.0000 0.0000 0.0000
Dy3 Dy 0.9722 0.1759 0.1759
# E_tot	-60.685	eV/cell
# density of states at the Fermi level	19.38	states/eV/cell
# crystal system	monoclinic
# formation enthalpy at 0 K	0.3093	eV/atom